1.
A crystal of ZrCd2Hg relaxed with PBEsol, computed with SCAN.

Summary:
**Uncorrected energy**: -40.015 eV per atom
**Space group**: No. 12
**Energy relative to the elements**: -0.092 eV per atom

POSCAR file:
```
ZrCd2Hg
1.0
2.9984 -5.1547 0.0000
2.9984 5.1547 0.0000
-1.0793 0.0000 2.6752
Zr Cd Hg
1 2 1
Direct
0.0000 0.0000 0.0000
0.0000 0.5000 0.5000
0.5000 0.0000 0.5000
0.5000 0.5000 0.0000
```

2.
A crystal of TlTc2Se relaxed with PBEsol, computed with SCAN.

Summary:
**Uncorrected energy**: -40.321 eV per atom
**ΔE_f (raw)**: 0.318 eV per atom
**Space group**: No. 160
**Distance to the lowest polymorph of the same formula**: 0.000 eV per atom

POSCAR file:
```
TlTc2Se
1.0
1.4753 0.8518 9.6506
-1.4753 0.8518 9.6506
0.0000 -1.7036 9.6506
Tl Tc Se
1 2 1
Direct
0.0000 0.0000 0.0000
0.4892 0.4892 0.4892
0.7519 0.7519 0.7519
0.2187 0.2187 0.2187
```

3.
A crystal of CeCuPt4 relaxed with PBEsol, computed with SCAN.

Summary:
**Uncorrected energy**: -57.498 eV per atom
**Space group**: No. 187
**Energy relative to the elements**: -0.742 eV per atom

POSCAR file:
```
CeCuPt4
1.0
5.3051 0.0000 0.0000
-2.6525 4.5943 0.0000
0.0000 0.0000 4.2671
Ce Cu Pt
1 1 4
Direct
0.0000 0.0000 0.0000
0.6667 0.3333 0.0000
0.3333 0.6667 0.0000
0.5022 0.0043 0.5000
0.5022 0.4978 0.5000
0.9957 0.4978 0.5000
```